Material: BeBiPt3
Method: DFT, PBE
State: relaxed

a = 5.2143 Å, b = 5.2143 Å, c = 8.0028 Å
α = 70.99°, β = 70.99°, γ = 90.00°
With the nearest neighbours (Å) after each atom.
Atoms (fractional coordinates):
Be  0.0000  0.0000  0.0000  4 Pt 2.19
Be  0.2500  0.7500  0.5000  4 Pt 2.22
Bi  0.5896  0.0896  0.8208  2 Be 2.90, 6 Pt 2.96-3.04
Bi  0.9104  0.4104  0.1792  2 Be 2.90, 6 Pt 2.96-3.04
Pt  0.1305  0.8771  0.2459  2 Be 2.19-2.22
Pt  0.1229  0.8695  0.7541  2 Be 2.19-2.22
Pt  0.1229  0.3763  0.7541  2 Be 2.19-2.22
Pt  0.6237  0.8771  0.2459  2 Be 2.19-2.22
Pt  0.2997  0.2997  0.4006  2 Be 2.70, 2 Pt 2.84
Pt  0.7003  0.7003  0.5994  2 Be 2.70, 2 Pt 2.84

Summary:
Its formation energy is -0.0184 eV/atom. Its electronic total energy is -0.37957 Ry per atom. The energy above the most stable polymorph in this dataset comes out at 2.07 eV per formula unit.